No. 1
VASP calculation (SCAN) on a crystal of LiSiBr relaxed with PBEsol.

```
3
Lattice="3.393 0.000 0.000 -1.696 2.938 0.000 0.000 0.000 5.870" Properties=species:S:1:pos:R:3 pbc="T T T"
Si 1.696 0.979 2.022
Br 0.000 0.000 5.626
Li 0.000 1.959 4.093
```

Summary:
Energy relative to the elements, uncorrected = 0.87 kcal/mol of atoms
Total energy = -31.75 eV for the cell shown
Symmetry = No. 156



No. 2
VASP calculation (SCAN) on a crystal of SnTe2P relaxed with PBEsol.

```
4
Lattice="5.113 0.000 0.000 2.556 4.428 0.000 2.556 1.476 4.175" Properties=species:S:1:pos:R:3 pbc="T T T"
P 0.000 0.000 0.000
Te 2.556 1.476 1.044
Te 7.669 4.428 3.131
Sn 5.113 2.952 2.087
```

Summary:
Energy relative to the elements, uncorrected = 11.70 kcal/mol of atoms
Total energy = -118.79 eV for the cell shown
Symmetry = No. 225



No. 3
VASP calculation (SCAN) on a crystal of InRePt2 relaxed with PBEsol.

```
4
Lattice="-1.515 -2.288 -0.782 0.934 -2.618 0.644 -4.691 -1.322 7.749" Properties=species:S:1:pos:R:3 pbc="T T T"
In 0.000 0.000 0.000
Pt -1.362 -1.554 1.979
Pt -3.910 -4.675 5.632
Re -2.636 -3.114 3.805
```

Summary:
Formation energy = 0.0003 eV per atom
Total energy = -244.87 eV for the cell shown
Symmetry = No. 166



No. 4
VASP calculation (SCAN) on a crystal of Sr2BMoPd relaxed with PBEsol.

```
5
Lattice="-3.763 0.771 1.460 -0.094 -4.891 2.340 2.177 2.109 4.496" Properties=species:S:1:pos:R:3 pbc="T T T"
Sr 1.089 1.054 2.248
Sr -0.047 -2.445 1.170
Mo -1.881 0.385 0.730
B 0.000 0.000 0.000
Pd -0.840 -1.005 4.148
```

Summary:
Formation energy = 0.4299 eV per atom
Total energy = -117.49 eV for the cell shown
Symmetry = No. 123



No. 5
VASP calculation (SCAN) on a crystal of Cr2RuPb relaxed with PBEsol.

```
4
Lattice="2.935 0.000 0.000 1.468 2.542 0.000 1.468 0.847 8.194" Properties=species:S:1:pos:R:3 pbc="T T T"
Cr 1.468 0.847 8.072
Cr 4.403 2.542 6.541
Pb 2.935 1.695 4.113
Ru 1.468 0.847 1.759
```

Summary:
Formation energy = 0.7009 eV per atom
Total energy = -144.57 eV for the cell shown
Symmetry = No. 160



No. 6
VASP calculation (SCAN) on a crystal of TlInRu3 relaxed with PBEsol.

```
5
Lattice="-1.544 1.286 4.364 -1.529 -4.487 0.782 4.285 -1.137 1.851" Properties=species:S:1:pos:R:3 pbc="T T T"
Ru -0.764 -2.243 0.391
Ru 2.142 -0.569 0.926
Ru -0.772 0.643 2.182
Tl 0.606 -2.169 3.498
In 0.000 0.000 0.000
```

Summary:
Formation energy = 1.8962 eV per atom
Total energy = -200.74 eV for the cell shown
Symmetry = No. 221



No. 7
VASP calculation (SCAN) on a crystal of Na2Zn2In relaxed with PBEsol.

```
5
Lattice="-0.870 -3.355 2.243 3.283 0.745 2.389 -5.039 5.040 1.786" Properties=species:S:1:pos:R:3 pbc="T T T"
Na -0.275 2.240 3.245
Na -2.351 0.190 3.172
Zn -3.144 3.065 3.365
Zn 0.518 -0.634 3.052
In 0.000 0.000 0.000
```

Summary:
Formation energy = 0.1988 eV per atom
Total energy = -67.85 eV for the cell shown
Energy above the lowest structure with this stoichiometry = 23.4 kJ/mol of atoms
Symmetry = No. 139



No. 8
VASP calculation (SCAN) on a crystal of CdW2Cl relaxed with PBEsol.

```
4
Lattice="-1.489 1.825 1.619 -3.476 0.154 -3.370 -2.283 -3.797 2.182" Properties=species:S:1:pos:R:3 pbc="T T T"
Cl -2.880 -1.822 -0.594
W 0.000 0.000 0.000
W -2.482 0.990 -0.875
Cd -1.886 -0.986 1.901
```

Summary:
Energy relative to the elements, uncorrected = 23.83 kcal/mol of atoms
Total energy = -173.63 eV for the cell shown
Energy above the lowest structure with this stoichiometry = 21.4 kJ/mol of atoms
Symmetry = No. 47



No. 9
VASP calculation (SCAN) on a crystal of MnSbI2F relaxed with PBEsol.

```
5
Lattice="-2.615 -0.261 4.430 1.686 -4.815 0.712 4.011 1.770 2.471" Properties=species:S:1:pos:R:3 pbc="T T T"
I 0.843 -2.408 0.356
I -1.307 -0.130 2.215
Sb 2.006 0.885 1.236
Mn 0.000 0.000 0.000
F 1.541 -1.653 3.807
```

Summary:
Energy relative to the elements, uncorrected = -1.84 kcal/mol of atoms
Total energy = -132.94 eV for the cell shown
Energy above the lowest structure with this stoichiometry = 2.7 kJ/mol of atoms
Symmetry = No. 123



No. 10
VASP calculation (SCAN) on a crystal of LaSc2Mn relaxed with PBEsol.

```
4
Lattice="3.175 0.000 0.000 0.000 3.175 0.000 0.000 0.000 8.715" Properties=species:S:1:pos:R:3 pbc="T T T"
La 1.588 1.588 0.000
Mn 1.588 1.588 4.357
Sc 0.000 0.000 5.878
Sc 0.000 0.000 2.837
```

Summary:
Formation energy = 0.0426 eV per atom
Total energy = -89.66 eV for the cell shown
Energy above the lowest structure with this stoichiometry = 0.0 kJ/mol of atoms
Symmetry = No. 123



No. 11
VASP calculation (SCAN) on a crystal of RhSeIO2 relaxed with PBEsol.

```
5
Lattice="3.792 0.000 0.000 0.000 3.792 0.000 0.000 0.000 7.340" Properties=species:S:1:pos:R:3 pbc="T T T"
I 0.000 0.000 3.670
Rh 0.000 0.000 0.000
O 0.000 1.896 0.000
O 1.896 0.000 0.000
Se 1.896 1.896 3.670
```

Summary:
Energy relative to the elements, uncorrected = 1.08 kcal/mol of atoms
Total energy = -102.82 eV for the cell shown
Symmetry = No. 123



No. 12
VASP calculation (SCAN) on a crystal of AlSbMo2 relaxed with PBEsol.

```
4
Lattice="3.141 0.000 0.000 0.000 4.530 0.000 0.000 0.000 4.677" Properties=species:S:1:pos:R:3 pbc="T T T"
Sb 0.000 2.498 0.000
Mo 1.571 0.221 0.000
Mo 0.000 0.898 2.338
Al 1.571 3.178 2.338
```

Summary:
Energy relative to the elements, uncorrected = 5.10 kcal/mol of atoms
Total energy = -113.90 eV for the cell shown
Energy above the lowest structure with this stoichiometry = 2.0 kJ/mol of atoms
Symmetry = No. 25



No. 13
VASP calculation (SCAN) on a crystal of CdNiPb relaxed with PBEsol.

```
3
Lattice="-2.183 2.917 2.469 -4.029 1.311 -1.189 -3.507 -1.277 2.332" Properties=species:S:1:pos:R:3 pbc="T T T"
Pb 0.000 0.000 0.000
Ni -2.430 0.738 0.903
Cd -4.860 1.476 1.806
```

Summary:
Formation energy = 0.0872 eV per atom
Total energy = -122.11 eV for the cell shown
Energy above the lowest structure with this stoichiometry = 0.0 kJ/mol of atoms
Symmetry = No. 216



No. 14
VASP calculation (SCAN) on a crystal of LaCoRu relaxed with PBEsol.

```
3
Lattice="-1.591 -3.406 -1.405 3.850 0.867 -0.730 1.130 -2.005 3.581" Properties=species:S:1:pos:R:3 pbc="T T T"
Ru 0.788 -2.984 0.611
Co 0.565 -1.002 1.791
La 2.037 -0.558 -0.955
```

Summary:
Formation energy = -0.0473 eV per atom
Total energy = -95.38 eV for the cell shown
Symmetry = No. 187



No. 15
VASP calculation (SCAN) on a crystal of LiMnPO4 relaxed with PBEsol.

```
28
Lattice="7.095 0.000 0.000 0.000 7.095 0.000 0.000 0.000 7.095" Properties=species:S:1:pos:R:3 pbc="T T T"
Li 1.431 4.979 5.663
Li 2.116 2.116 2.116
Li 4.979 5.663 1.431
Li 5.663 1.431 4.979
Mn 1.899 5.196 1.648
Mn 1.648 1.899 5.196
Mn 5.446 5.446 5.446
Mn 5.196 1.648 1.899
P 0.206 0.206 0.206
P 6.888 3.754 3.341
P 3.341 6.888 3.754
P 3.754 3.341 6.888
O 6.930 4.257 4.823
O 1.072 1.072 1.072
O 1.275 3.712 2.838
O 0.710 5.819 0.164
O 2.838 1.275 3.712
O 2.272 3.383 6.385
O 2.475 6.022 4.620
O 3.712 2.838 1.275
O 3.383 6.385 2.272
O 4.620 2.475 6.022
O 4.823 6.930 4.257
O 4.257 4.823 6.930
O 6.385 2.272 3.383
O 5.819 0.164 0.710
O 6.022 4.620 2.475
O 0.164 0.710 5.819
```

Summary:
Energy relative to the elements, uncorrected = -55.00 kcal/mol of atoms
Total energy = -290.65 eV for the cell shown
Energy above the lowest structure with this stoichiometry = 9.9 kJ/mol of atoms
Symmetry = No. 198



No. 16
VASP calculation (SCAN) on a crystal of TiGa2Cu2 relaxed with PBEsol.

```
5
Lattice="3.714 0.000 0.000 0.000 3.714 0.000 -1.857 -1.857 5.266" Properties=species:S:1:pos:R:3 pbc="T T T"
Cu 0.000 0.000 4.157
Cu 1.857 1.857 1.109
Ga 0.000 1.857 2.633
Ga 1.857 0.000 2.633
Ti 0.000 0.000 0.000
```

Summary:
Formation energy = -0.1146 eV per atom
Total energy = -79.69 eV for the cell shown
Symmetry = No. 139



No. 17
VASP calculation (SCAN) on a crystal of AlTlH3 relaxed with PBEsol.

```
5
Lattice="-3.958 0.230 0.992 -0.654 -3.625 -1.770 0.781 -1.873 3.547" Properties=species:S:1:pos:R:3 pbc="T T T"
H -0.327 -1.812 -0.885
H 0.390 -0.937 1.774
H -1.979 0.115 0.496
Tl 0.000 0.000 0.000
Al -1.916 -2.634 1.385
```

Summary:
Total energy = -86.45 eV for the cell shown
Symmetry = No. 221



No. 18
VASP calculation (SCAN) on a crystal of K3NaB relaxed with PBEsol.

```
5
Lattice="-4.771 3.301 2.105 -0.188 -3.507 5.075 3.911 3.860 2.811" Properties=species:S:1:pos:R:3 pbc="T T T"
Na -0.524 1.827 4.996
K -0.094 -1.753 2.538
K 1.955 1.930 1.406
K -2.386 1.651 1.052
B 0.000 0.000 0.000
```

Summary:
Formation energy = 0.6726 eV per atom
Total energy = -33.27 eV for the cell shown
Symmetry = No. 221



No. 19
VASP calculation (SCAN) on a crystal of Be2RuPt relaxed with PBEsol.

```
8
Lattice="4.980 -0.023 0.000 -2.068 4.530 0.000 -1.456 -2.254 4.195" Properties=species:S:1:pos:R:3 pbc="T T T"
Ru 1.456 2.254 0.000
Ru 2.490 -0.012 2.098
Pt 0.000 0.000 0.000
Pt -1.034 2.265 2.098
Be 1.091 1.691 2.099
Be -0.363 -0.564 2.097
Be 3.583 1.678 0.001
Be -1.399 1.702 4.194
```

Summary:
Formation energy = -0.0474 eV per atom
Total energy = -227.83 eV for the cell shown
Energy above the lowest structure with this stoichiometry = 62.2 kJ/mol of atoms
Symmetry = No. 122



No. 20
VASP calculation (SCAN) on a crystal of ZnFe2O4 relaxed with PBEsol.

```
14
Lattice="-4.387 -0.160 -3.652 0.972 -0.289 -5.620 -1.164 -4.806 -2.856" Properties=species:S:1:pos:R:3 pbc="T T T"
Zn -1.145 -1.314 -3.032
Zn 0.000 0.000 0.000
Fe -2.862 -3.285 -7.580
Fe -3.348 -3.140 -4.770
Fe -2.280 -0.881 -6.152
Fe -0.669 -3.205 -5.754
O -3.737 -2.113 -6.340
O -2.298 -4.187 -5.985
O -4.380 -4.399 -7.940
O -1.987 -4.457 -8.819
O -3.426 -2.382 -9.174
O -1.345 -2.170 -7.219
O -1.779 -2.041 -4.710
O -3.946 -4.528 -10.449
```

Summary:
Energy relative to the elements, uncorrected = -36.49 kcal/mol of atoms
Total energy = -171.55 eV for the cell shown
Energy above the lowest structure with this stoichiometry = 0.9 kJ/mol of atoms
Symmetry = No. 227